The following is a GGA-PBE calculation of TaPtBr after structural relaxation, from the Alexandria database.

total DFT energy (no corrections) = -6.662 eV per atom
uncorrected formation energy = -0.140 eV per atom
D(E_F) = 2.32 states/eV/cell
energy relative to the lowest polymorph listed for this composition = 0.0 meV per atom
calculated density = 11.452 g/cm3
space-group type = I4mm (107)
volume = 22.04 A^3/atom

Unit cell a=7.417 b=7.417 c=7.417 alpha=156.25 beta=156.25 gamma=33.83
Fractional coordinates of all 3 atoms:
Ta  0.000  0.000  0.000
Pt  0.618  0.618  0.000
Br  0.375  0.375  0.000

***

The following is a GGA-PBE calculation of TaPtBr2 after structural relaxation, from the Alexandria database.

total DFT energy (no corrections) = -4.799 eV per atom
uncorrected formation energy = 0.510 eV per atom
D(E_F) = 4.01 states/eV/cell
energy relative to the lowest polymorph listed for this composition = 924.8 meV per atom
calculated density = 11.246 g/cm3
space-group type = P2/m (10)
volume = 19.78 A^3/atom

Unit cell a=3.199 b=4.628 c=5.348 alpha=90.00 beta=92.14 gamma=90.00
Fractional coordinates of all 4 atoms:
Ta  0.000  0.000  0.000
Pt  0.500  0.000  0.500
Br  0.212  0.500  0.244
Br  0.788  0.500  0.756

***

The following is a GGA-PBE calculation of TaPtBr2 after structural relaxation, from the Alexandria database.

total DFT energy (no corrections) = -5.192 eV per atom
uncorrected formation energy = 0.118 eV per atom
D(E_F) = 0.70 states/eV/cell
energy relative to the lowest polymorph listed for this composition = 532.1 meV per atom
calculated density = 7.103 g/cm3
space-group type = Imm2 (44)
volume = 31.32 A^3/atom

Unit cell a=6.280 b=6.280 c=6.280 alpha=147.43 beta=105.46 gamma=83.72
Fractional coordinates of all 4 atoms:
Ta  0.000  0.000  0.000
Pt  0.818  0.318  0.500
Br  0.220  0.720  0.500
Br  0.595  0.595  0.000

***

The following is a GGA-PBE calculation of TaPtBr2 after structural relaxation, from the Alexandria database.

total DFT energy (no corrections) = -5.567 eV per atom
uncorrected formation energy = -0.257 eV per atom
D(E_F) = 2.06 states/eV/cell
energy relative to the lowest polymorph listed for this composition = 157.5 meV per atom
calculated density = 8.228 g/cm3
space-group type = P1 (1)
volume = 27.03 A^3/atom

Unit cell a=3.279 b=4.982 c=7.284 alpha=105.15 beta=101.72 gamma=101.94
Fractional coordinates of all 4 atoms:
Ta  0.000  0.000  0.000
Pt  0.342  0.600  0.007
Br  0.376  0.010  0.711
Br  0.722  0.287  0.287